DFT (PBE with a Hubbard U) results for crystalline NaMg2MoF8 at its relaxed geometry.

Results
Symmetry: P2/m, No. 10
M_tot in Bohr magnetons per cell: 3.00
Final energy in eV for the cell shown: -63.646

a = 4.899 Å, b = 6.471 Å, c = 4.906 Å
α = 90.00°, β = 90.25°, γ = 90.00°
Element x y z (fractional)
Na 0.000 0.000 0.000
Mg 0.500 0.238 0.500
Mg 0.500 0.762 0.500
Mo 0.000 0.500 0.000
F 0.215 0.270 0.211
F 0.215 0.730 0.211
F 0.306 0.500 0.691
F 0.317 0.000 0.679
F 0.683 0.000 0.321
F 0.694 0.500 0.309
F 0.785 0.270 0.789
F 0.785 0.730 0.789